1.
The following is a DFT calculation (PBE) of a geometry-optimized NpSc4S6 structure.

Cell and atoms, written as extended XYZ:
```
22
Lattice="1.853 -6.101 0.000 1.853 6.101 0.000 0.000 0.000 18.800" Properties=species:S:1:pos:R:3 pbc="T T T"
Np 1.853 4.177 14.100
Np 1.853 -4.177 4.700
Sc 1.853 4.979 2.366
Sc 1.853 4.979 7.034
Sc 1.853 1.702 0.761
Sc 1.853 1.702 8.639
Sc 1.853 -1.702 10.161
Sc 1.853 -1.702 18.039
Sc 1.853 -4.979 11.766
Sc 1.853 -4.979 16.435
S 0.000 0.000 0.000
S 0.000 0.000 9.400
S 1.853 3.949 4.700
S 1.853 2.817 11.052
S 1.853 2.817 17.149
S 1.853 0.535 3.069
S 1.853 0.535 6.331
S 1.853 -0.535 12.469
S 1.853 -0.535 15.731
S 1.853 -2.817 1.652
S 1.853 -2.817 7.748
S 1.853 -3.949 14.100
```

Summary:
Formation energy (no corrections)   -1793 meV per atom
Symmetry   Cmcm
Magnetization   4.2 μB per formula unit
Mass density   4.76 g cm⁻³
Total energy   -7.523 eV per atom
N(E_F)   1.41 states/eV/atom



2.
The following is a DFT calculation (PBE) of a geometry-optimized Np3Sc5S12 structure.

Cell and atoms, written as extended XYZ:
```
80
Lattice="-7.778 7.778 7.778 7.778 -7.778 7.778 7.778 7.778 -7.778" Properties=species:S:1:pos:R:3 pbc="T T T"
Np 3.889 1.944 0.000
Np 7.778 3.889 -1.944
Np 1.944 0.000 3.889
Np 9.722 0.000 3.889
Np 0.000 3.889 1.944
Np 3.889 -1.944 7.778
Np 3.889 9.722 0.000
Np 7.778 3.889 5.833
Np -1.944 7.778 3.889
Np 5.833 7.778 3.889
Np 0.000 3.889 9.722
Np 3.889 5.833 7.778
Sc 0.000 0.000 0.000
Sc 3.889 3.889 -3.889
Sc 3.889 -3.889 3.889
Sc 7.778 0.000 0.000
Sc 11.667 1.944 0.000
Sc 7.778 -3.889 5.833
Sc 5.833 7.778 -3.889
Sc 5.833 0.000 3.889
Sc 3.889 5.833 0.000
Sc 7.778 3.889 1.944
Sc -3.889 3.889 3.889
Sc 0.000 7.778 0.000
Sc 0.000 0.000 7.778
Sc 3.889 3.889 3.889
Sc 0.000 3.889 5.833
Sc 3.889 1.944 7.778
Sc 1.944 7.778 3.889
Sc 1.944 0.000 11.667
Sc 0.000 11.667 1.944
Sc -3.889 5.833 7.778
S 2.355 -0.379 1.012
S 9.311 4.900 -4.268
S 7.399 -1.012 2.355
S 12.046 -1.534 2.877
S 10.133 0.379 1.012
S 9.311 -2.877 4.268
S 1.012 2.355 -0.379
S 10.655 3.510 -1.534
S 4.900 4.268 -1.534
S 6.766 2.355 0.379
S -0.379 1.012 2.355
S 4.268 -1.534 4.900
S 7.399 6.766 -2.355
S 4.268 1.534 2.877
S 6.766 -2.355 7.399
S 4.900 -4.268 9.311
S 2.877 4.268 1.534
S 8.789 5.422 0.379
S 2.355 7.399 -1.012
S 9.311 2.877 3.510
S 4.268 9.311 -2.877
S 7.399 1.012 5.422
S 1.534 2.877 4.268
S 2.355 0.379 6.766
S 5.422 7.399 1.012
S 6.244 4.900 3.510
S 0.379 6.766 2.355
S 3.510 -1.534 10.655
S -1.534 4.900 4.268
S 5.422 0.379 8.789
S -1.012 2.355 7.399
S 4.900 3.510 6.244
S 2.877 12.046 -1.534
S 1.012 10.133 0.379
S 3.510 6.244 4.900
S 0.379 1.012 10.133
S 3.510 9.311 2.877
S 8.157 6.766 5.422
S 1.012 5.422 7.399
S 2.877 3.510 9.311
S -2.877 4.268 9.311
S 6.766 5.422 8.157
S -1.534 10.655 3.510
S -2.355 7.399 6.766
S -4.268 9.311 4.900
S 0.379 8.789 5.422
S -1.534 2.877 12.046
S 5.422 8.157 6.766
```

Summary:
Formation energy (no corrections)   -1577 meV per atom
Symmetry   Ia-3d
Magnetization   12.0 μB per formula unit
Mass density   4.66 g cm⁻³
Total energy   -7.578 eV per atom
N(E_F)   1.30 states/eV/atom



3.
The following is a DFT calculation (PBE) of a geometry-optimized Np3ScS4 structure.

Cell and atoms, written as extended XYZ:
```
16
Lattice="6.664 0.000 0.000 0.000 7.707 0.000 -2.211 0.000 6.281" Properties=species:S:1:pos:R:3 pbc="T T T"
Np -0.553 0.938 1.570
Np -1.658 2.899 4.711
Np -0.553 4.808 1.570
Np -1.658 6.769 4.711
Np 2.779 2.890 1.570
Np 1.674 4.817 4.711
Sc 1.674 0.952 4.711
Sc 2.779 6.755 1.570
S 0.595 2.862 3.180
S 1.701 4.846 0.039
S 1.739 0.920 0.002
S 0.633 6.787 3.143
S 3.820 0.920 3.139
S 2.715 6.787 6.279
S 2.753 2.862 6.242
S 3.858 4.846 3.102
```

Summary:
Formation energy (no corrections)   -1469 meV per atom
Symmetry   P2/c
Magnetization   4.0 μB per formula unit
Mass density   9.10 g cm⁻³
Total energy   -9.176 eV per atom
N(E_F)   3.18 states/eV/atom



4.
The following is a DFT calculation (PBE) of a geometry-optimized NpSc4S5 structure.

Cell and atoms, written as extended XYZ:
```
10
Lattice="-1.867 2.637 9.347 1.867 -2.637 9.347 1.867 2.637 -9.347" Properties=species:S:1:pos:R:3 pbc="T T T"
Np 0.000 0.000 0.000
Sc 0.000 0.000 3.711
Sc 0.000 0.000 7.486
Sc 0.000 0.000 11.207
Sc 0.000 0.000 14.983
S 1.867 0.000 1.965
S 1.867 0.000 5.599
S 0.000 2.637 0.000
S 0.000 2.637 3.748
S 0.000 2.637 7.381
```

Summary:
Formation energy (no corrections)   -1775 meV per atom
Symmetry   Immm
Magnetization   4.1 μB per formula unit
Mass density   5.21 g cm⁻³
Total energy   -7.666 eV per atom
N(E_F)   0.77 states/eV/atom



5.
The following is a DFT calculation (PBE) of a geometry-optimized NpSc5S6 structure.

Cell and atoms, written as extended XYZ:
```
12
Lattice="3.229 -5.596 0.000 3.229 5.596 0.000 -2.169 0.000 6.091" Properties=species:S:1:pos:R:3 pbc="T T T"
Np 0.000 0.000 0.000
Sc 2.145 3.725 3.046
Sc 3.229 1.886 0.000
Sc 2.145 0.000 3.046
Sc 3.229 -1.886 0.000
Sc 2.145 -3.725 3.046
S 1.103 1.911 1.559
S 0.048 0.000 4.539
S 1.103 -1.911 1.559
S 3.186 1.911 4.532
S 4.241 0.000 1.553
S 3.186 -1.911 4.532
```

Summary:
Formation energy (no corrections)   -1779 meV per atom
Symmetry   C2/m
Magnetization   4.6 μB per formula unit
Mass density   4.93 g cm⁻³
Total energy   -7.559 eV per atom
N(E_F)   1.17 states/eV/atom



6.
The following is a DFT calculation (PBE) of a geometry-optimized Np5ScS6 structure.

Cell and atoms, written as extended XYZ:
```
12
Lattice="3.344 -5.793 0.000 3.344 5.793 0.000 -2.243 0.000 6.319" Properties=species:S:1:pos:R:3 pbc="T T T"
Np 0.000 0.000 0.000
Np 2.222 3.878 3.160
Np 3.344 1.949 0.000
Np 3.344 -1.949 0.000
Np 2.222 -3.878 3.160
Sc 2.222 0.000 3.160
S 1.142 1.907 1.630
S 0.060 0.000 4.711
S 1.142 -1.907 1.630
S 3.303 1.907 4.689
S 4.385 0.000 1.608
S 3.303 -1.907 4.689
```

Summary:
Formation energy (no corrections)   -1426 meV per atom
Symmetry   C2/m
Magnetization   11.8 μB per formula unit
Mass density   9.65 g cm⁻³
Total energy   -9.410 eV per atom
N(E_F)   3.17 states/eV/atom



7.
The following is a DFT calculation (PBE) of a geometry-optimized Np2ScS6 structure.

Cell and atoms, written as extended XYZ:
```
9
Lattice="6.923 0.000 0.000 -3.462 5.996 0.000 0.000 0.000 4.298" Properties=species:S:1:pos:R:3 pbc="T T T"
Np 0.000 3.997 0.917
Np 3.462 1.999 3.381
Sc 0.000 0.000 0.000
S -0.733 2.238 3.188
S -1.157 5.511 3.188
S 1.572 1.754 1.110
S 1.890 4.242 3.188
S 4.618 0.485 1.110
S 4.194 3.757 1.110
```

Summary:
Formation energy (no corrections)   -1268 meV per atom
Symmetry   P-3
Magnetization   5.0 μB per formula unit
Mass density   6.62 g cm⁻³
Total energy   -7.599 eV per atom
Excess energy over the best structure of this formula in the dataset   0 kJ/mol of formula units
N(E_F)   1.87 states/eV/atom



8.
The following is a DFT calculation (PBE) of a geometry-optimized NpScS2 structure.

Cell and atoms, written as extended XYZ:
```
8
Lattice="3.763 0.000 0.000 -1.882 3.259 0.000 0.000 0.000 12.750" Properties=species:S:1:pos:R:3 pbc="T T T"
Np 0.000 0.000 0.000
Np 0.000 0.000 6.375
Sc 0.000 2.173 3.188
Sc 1.882 1.086 9.563
S 0.000 2.173 8.021
S 0.000 2.173 11.105
S 1.882 1.086 1.646
S 1.882 1.086 4.729
```

Summary:
Formation energy (no corrections)   -1558 meV per atom
Symmetry   P6_3/mmc
Magnetization   4.1 μB per formula unit
Mass density   7.35 g cm⁻³
Total energy   -8.440 eV per atom
Excess energy over the best structure of this formula in the dataset   23 kJ/mol of formula units
N(E_F)   1.91 states/eV/atom